Record 1
Material: ScCl3
Method: DFT, PBE
State: relaxed

energy: -4.86 eV/atom

Unit cell a=9.1579 b=9.1579 c=6.9473 alpha=48.77 beta=48.77 gamma=90.00
Fractional coordinates of all 8 atoms:
Cl 0.2500 0.7500 0.5000
Cl 0.8750 0.0254 0.7500
Cl 0.3750 0.2246 0.7500
Cl 0.7754 0.1250 0.2500
Cl 0.9746 0.6250 0.2500
Cl 0.5000 0.5000 0.0000
Sc 0.7500 0.2500 0.5000
Sc 0.0000 0.0000 0.0000

=====

Record 2
Material: ScSeCl3
Method: DFT, PBE
State: relaxed

relative energy among the computed polymorphs: 1025 meV per atom

Unit cell a=5.2059 b=5.2059 c=5.2059 alpha=90.00 beta=90.00 gamma=90.00
Fractional coordinates of all 5 atoms:
Cl 0.5000 0.0000 0.0000
Cl 0.0000 0.0000 0.5000
Cl 0.0000 0.5000 0.0000
Se 0.0000 0.0000 0.0000
Sc 0.5000 0.5000 0.5000

=====

Record 3
Material: Sc2SeCl
Method: DFT, PBE
State: relaxed

relative energy among the computed polymorphs: 24 meV per atom

Unit cell a=7.3455 b=7.3455 c=3.5996 alpha=89.62 beta=89.62 gamma=28.29
Fractional coordinates of all 4 atoms:
Sc 0.6906 0.6906 0.6231
Sc 0.0600 0.0600 0.1268
Se 0.4959 0.4959 0.6286
Cl 0.2535 0.2535 0.1215

=====

Across the entries above, DOS(E_F) takes the values 0.00; 1.54; 0.36 states/eV per atom, respectively.